Computed, not measured: an optimized crystal structure of TmLuIr2 at the GGA-PBE level of DFT.

Its energy of formation is -937 meV per atom. The value obtained for the volume is 76 Å³/f.u. Its magnetization is 0.0000 μB/atom. The value obtained for the total energy is -7.6161 eV/atom.

The structure belongs to space group Fm-3m (No. 225); the cell edges are 6.734, 6.734 and 6.734 Å and the angles 90.00°, 90.00° and 90.00°. The inequivalent atoms are Tm at (0.000, 0.000, 0.000), Lu at (0.000, 0.000, 0.500) and Ir at (0.250, 0.250, 0.250).